# GaSeO3, optimized geometry, DFT GGA-PBE
data_GaSeO3
_space_group_name_H-M_alt 'P 1'
_space_group_IT_number 1
_space_group_name_Hall 'P 1'
_cell_length_a 3.8875
_cell_length_b 3.8875
_cell_length_c 3.8875
_cell_angle_alpha 90.00
_cell_angle_beta 90.00
_cell_angle_gamma 90.00
loop_
_atom_site_label
_atom_site_fract_x
_atom_site_fract_y
_atom_site_fract_z
_atom_site_occupancy
O1 0.5000 0.0000 0.0000 1
Se1 0.0000 0.0000 0.0000 1
O2 0.0000 0.5000 0.0000 1
Ga1 0.5000 0.5000 0.5000 1
O3 0.0000 0.0000 0.5000 1
# E   -4.564 eV per atom